Compound: NiSbAs3
Source: Alexandria
Functional: PBE
Structure: optimized geometry

Lattice parameters (Å, degrees): 4.6914 4.6914 4.6914 90.00 90.00 90.00
With the nearest neighbours (Å) after each atom.
Element x y z (fractional)
Sb 0.5000 0.5000 0.5000  12 As 3.32
As 0.0000 0.5000 0.0000  2 Ni 2.35
As 0.0000 0.0000 0.5000  2 Ni 2.35
As 0.5000 0.0000 0.0000  2 Ni 2.35
Ni 0.0000 0.0000 0.0000  6 As 2.35

Density of states at the Fermi level = 4.9 states/eV/cell
E = -4.40 eV/atom
Uncorrected formation energy = 36.2 kJ per mole of atoms
Energy above the lowest structure with this stoichiometry = 0 kJ/mol of formula units
Size of the total moment = 0.0 μB per formula unit